The following is a GGA-PBE calculation of a relaxed DyTh6Sc crystal, from the Alexandria database.

Unit cell a=5.0058 b=5.0058 c=10.0139 alpha=90.00 beta=90.00 gamma=90.00
Fractional coordinates of all 8 atoms:
1 Dy 0.0000 0.0000 0.0000
2 Th 0.0000 0.5000 0.2545
3 Th 0.0000 0.5000 0.7455
4 Th 0.5000 0.0000 0.2545
5 Th 0.5000 0.0000 0.7455
6 Th 0.5000 0.5000 0.0000
7 Th 0.5000 0.5000 0.5000
8 Sc 0.0000 0.0000 0.5000

Summary:
For the volume, the calculation gives 250.93 Å³ per cell. The magnetization is 0.00 Bohr magnetons per cell. As for the final energy: -54.962 eV for the cell shown. The value obtained for the formation energy is 47 kJ/mol of formula units.



The following is a GGA-PBE calculation of a relaxed Dy8Th3Sc2 crystal, from the Alexandria database.

Unit cell a=6.1002 b=6.1054 c=11.0358 alpha=90.25 beta=100.30 gamma=99.72
Fractional coordinates of all 13 atoms:
1 Dy 0.0385 0.4217 0.1550
2 Dy 0.1932 0.1093 0.7655
3 Dy 0.3417 0.8076 0.3878
4 Dy 0.4250 0.6516 0.6889
5 Dy 0.5750 0.3484 0.3111
6 Dy 0.6583 0.1924 0.6122
7 Dy 0.8068 0.8907 0.2345
8 Dy 0.9615 0.5783 0.8450
9 Th 0.2692 0.9616 0.0755
10 Th 0.5000 0.5000 0.0000
11 Th 0.7308 0.0384 0.9245
12 Sc 0.1134 0.2688 0.4638
13 Sc 0.8866 0.7312 0.5362

Summary:
For the volume, the calculation gives 398.33 Å³ per cell. The magnetization is 0.00 Bohr magnetons per cell. As for the final energy: -71.119 eV for the cell shown. The value obtained for the formation energy is 60 kJ/mol of formula units.



The following is a GGA-PBE calculation of a relaxed DyTh6Sc4 crystal, from the Alexandria database.

Unit cell a=8.5293 b=8.5293 c=8.5293 alpha=132.00 beta=132.00 gamma=70.22
Fractional coordinates of all 11 atoms:
1 Dy 0.0000 0.0000 0.0000
2 Th 0.0000 0.5000 0.5000
3 Th 0.0248 0.6043 0.0000
4 Th 0.3957 0.3957 0.4205
5 Th 0.5000 0.0000 0.5000
6 Th 0.6043 0.0248 0.0000
7 Th 0.9752 0.9752 0.5795
8 Sc 0.2450 0.2450 0.6780
9 Sc 0.4329 0.7550 0.0000
10 Sc 0.5671 0.5671 0.3220
11 Sc 0.7550 0.4329 0.0000

Summary:
For the volume, the calculation gives 335.83 Å³ per cell. The magnetization is 0.00 Bohr magnetons per cell. As for the final energy: -70.017 eV for the cell shown. The value obtained for the formation energy is 427 kJ/mol of formula units.